No. 1
DFT (PBE) results for a relaxed KMg4Tl8 crystal.

abc: 6.3444 8.2828 8.2828
angles: 81.57 67.48 67.48
Fractional coordinates of all 13 atoms:
Mg (0.0000, 0.0000, 0.5000)
Mg (0.5000, 0.0000, 0.5000)
Mg (0.5000, 0.5000, 0.0000)
Mg (0.0000, 0.5000, 0.0000)
Tl (0.0000, 0.6540, 0.3460)
Tl (0.7204, 0.7796, 0.7796)
Tl (0.6540, 0.3460, 0.3460)
Tl (0.2796, 0.2204, 0.2204)
Tl (0.5000, 0.2204, 0.7796)
Tl (0.5000, 0.7796, 0.2204)
Tl (0.0000, 0.3460, 0.6540)
Tl (0.3460, 0.6540, 0.6540)
K (0.0000, 0.0000, 0.0000)

energy above the lowest structure with this stoichiometry	0	meV per atom
crystal system	tetragonal

No. 2
DFT (PBE) results for a relaxed KMgTl2 crystal.

abc: 6.3368 6.3368 6.1766
angles: 75.55 75.55 32.18
Fractional coordinates of all 4 atoms:
K (0.5053, 0.5053, 0.4720)
Mg (0.7278, 0.7278, 0.8175)
Tl (0.2676, 0.2676, 0.2464)
Tl (0.9993, 0.9993, 0.9641)

crystal system	monoclinic

The calculation returns the following density of states at the Fermi level values, one per record and in order: 0.5499; 0.4338 states/eV per atom.
The calculation returns the following theoretical density values, one per record and in order: 7.9; 6.1 g/cm³.
The calculation returns the following ΔE_f values, one per record and in order: -40; 32 meV per atom.